1.
DFT (PBE) results for a geometry-optimized SrPuO2 structure.

Output
- Energy relative to the elements, uncorrected: -2.405 eV per atom
- ΔE to the lowest computed polymorph: 0.121 eV/atom
- Density: 9072 kg/m³

Cell: 3.5088 3.5088 6.5631 Å, 74.50 74.50 60.00°
Fractional positions:
O1 0.0844 0.0844 0.7468
O2 0.2482 0.2482 0.2555
Sr1 0.6694 0.6694 0.9918
Pu1 0.4980 0.4980 0.5059



2.
DFT (PBE) results for a geometry-optimized Ac2NiRu structure.

Output
- ΔH_f (0 K): -0.822 eV per formula unit
- Density: 8410 kg/m³

Cell: 4.2869 4.2899 8.0000 Å, 74.45 74.46 60.02°
Fractional positions:
Ac1 0.8868 0.6507 0.5756
Ac2 0.7182 0.4805 0.0831
Ru1 0.4699 0.2326 0.8277
Ni1 0.1354 0.8982 0.8311



3.
DFT (PBE) results for a geometry-optimized KBaPb2 structure.

Output
- ΔH_f (0 K): -0.032 eV per formula unit
- ΔE to the lowest computed polymorph: 0.369 eV/atom
- Density: 6011 kg/m³

Cell: 9.7403 9.7403 7.6991 Å, 50.76 50.76 90.00°
Fractional positions:
Ba1 0.7500 0.2500 0.5000
Ba2 0.0000 0.0000 0.0000
Pb1 0.6195 0.1250 0.2500
Pb2 0.3750 0.3805 0.7500
Pb3 0.8750 0.8695 0.7500
Pb4 0.1305 0.6250 0.2500
K1 0.2500 0.7500 0.5000
K2 0.5000 0.5000 0.0000



4.
DFT (PBE) results for a geometry-optimized RbNdSI structure.

Output
- Energy relative to the elements, uncorrected: -1.419 eV per atom
- Density: 4745 kg/m³

Cell: 4.2662 4.2664 8.9700 Å, 90.02 103.79 119.93°
Fractional positions:
I1 0.9425 0.3695 0.3273
Nd1 0.1066 0.9518 0.0736
S1 0.3286 0.5618 0.9054
Rb1 0.5002 0.1477 0.6634



5.
DFT (PBE) results for a geometry-optimized AsPdRu structure.

Output
- ΔH_f (0 K): -0.615 eV per formula unit
- Density: 9629 kg/m³

Cell: 4.0991 4.0991 4.0991 Å, 60.00 60.00 60.00°
Fractional positions:
Ru1 0.0000 0.0000 0.0000
Pd1 0.5000 0.5000 0.5000
As1 0.2500 0.2500 0.2500



6.
DFT (PBE) results for a geometry-optimized Nd4NiRh structure.

Output
- ΔH_f (0 K): -1.847 eV per formula unit
- Density: 7682 kg/m³

Cell: 6.4917 7.0132 7.0132 Å, 90.00 90.00 90.00°
Fractional positions:
Ni1 0.7500 0.0000 0.0000
Ni2 0.2500 0.0000 0.0000
Nd1 0.5000 0.3152 0.8176
Nd2 0.0000 0.3152 0.1824
Nd3 0.5000 0.8176 0.6848
Nd4 0.0000 0.1824 0.6848
Nd5 0.5000 0.1824 0.3152
Nd6 0.0000 0.6848 0.8176
Nd7 0.5000 0.6848 0.1824
Nd8 0.0000 0.8176 0.3152
Rh1 0.2500 0.5000 0.5000
Rh2 0.7500 0.5000 0.5000



7.
DFT (PBE) results for a geometry-optimized Ac2SBr4 structure.

Output
- Energy relative to the elements, uncorrected: -1.919 eV per atom
- Density: 6023 kg/m³

Cell: 4.2876 10.1793 10.1793 Å, 90.00 90.00 90.00°
Fractional positions:
S1 0.5000 0.0000 0.0000
S2 0.0000 0.5000 0.5000
Br1 0.0000 0.1152 0.3455
Br2 0.5000 0.3848 0.8455
Br3 0.0000 0.8848 0.6545
Br4 0.0000 0.3455 0.1152
Br5 0.5000 0.1545 0.6152
Br6 0.0000 0.6545 0.8848
Br7 0.5000 0.8455 0.3848
Br8 0.5000 0.6152 0.1545
Ac1 0.5000 0.6555 0.6555
Ac2 0.0000 0.8445 0.1555
Ac3 0.0000 0.1555 0.8445
Ac4 0.5000 0.3445 0.3445



8.
DFT (PBE) results for a geometry-optimized Pm2AsOs structure.

Output
- ΔH_f (0 K): -1.274 eV per formula unit
- ΔE to the lowest computed polymorph: 0.130 eV/atom
- Density: 10004 kg/m³

Cell: 5.0699 5.0699 5.0699 Å, 60.00 60.00 60.00°
Fractional positions:
Pm1 0.7500 0.7500 0.7500
Pm2 0.2500 0.2500 0.2500
Os1 0.5000 0.5000 0.5000
As1 0.0000 0.0000 0.0000